Material: TmPd4Au
Method: DFT, PBE-GGA
State: optimized geometry

Cell and atoms, written as CIF:
```
data_TmPd4Au
_chemical_formula_sum 'Tm2 Pd8 Au2'
_symmetry_space_group_name_H-M 'P 1 21/c 1'
_symmetry_Int_Tables_number 14
_symmetry_space_group_name_Hall '-P 2ybc'
_cell_length_a 5.734
_cell_length_b 7.798
_cell_length_c 4.888
_cell_angle_alpha 90.00
_cell_angle_beta 105.85
_cell_angle_gamma 90.00
loop_
_atom_site_label
_atom_site_fract_x
_atom_site_fract_y
_atom_site_fract_z
Tm1 0.000 0.000 0.000
Pd1 0.163 0.158 0.544
Pd2 0.344 0.662 0.967
Au1 0.500 0.000 0.000
```

Computed properties:
Energy   -5.272 eV per atom
V   210 Å³/cell
N(E_F)   1.9 states/eV/f.u.